Record 1
This record from Alexandria describes a relaxed K2TlSb crystal. The functional is PBE-GGA.

The structure in extended XYZ format:
```
8
Lattice="8.379 0.000 0.000 0.000 8.409 0.000 0.000 0.000 4.102" Properties=species:S:1:pos:R:3 pbc="T T T"
K 2.095 2.102 0.000
K 2.095 6.307 0.000
K 6.284 2.102 0.000
K 6.284 6.307 0.000
Tl 0.000 0.000 2.051
Tl 4.190 4.205 2.051
Sb 0.000 4.205 2.051
Sb 4.190 0.000 2.051
```

Calculated values
The space-group type is No. 65. For the magnetic moment, the calculation gives 0.00 μB/atom. The crystal system is orthorhombic. Its total energy is -0.086 Ha/atom.

Record 2
This record from Alexandria describes a relaxed KTl12Sb4 crystal. The functional is PBE-GGA.

The structure in extended XYZ format:
```
17
Lattice="-5.388 5.388 5.388 5.388 -5.388 5.388 5.388 5.388 -5.388" Properties=species:S:1:pos:R:3 pbc="T T T"
K 0.000 0.000 0.000
Tl 3.792 0.000 1.579
Tl 6.985 0.000 1.579
Tl 5.388 3.809 -1.596
Tl 1.579 3.792 0.000
Tl 3.809 -1.596 5.388
Tl 0.000 1.579 3.792
Tl 5.388 3.809 1.596
Tl 1.579 6.985 0.000
Tl 3.809 1.596 5.388
Tl 0.000 1.579 6.985
Tl -1.596 5.388 3.809
Tl 1.596 5.388 3.809
Sb 2.694 2.694 -2.694
Sb 2.694 -2.694 2.694
Sb -2.694 2.694 2.694
Sb 2.694 2.694 2.694
```

Calculated values
The space-group type is No. 204. For the magnetic moment, the calculation gives 0.00 μB/atom. The crystal system is cubic. Its total energy is -0.098 Ha/atom.

Record 3
This record from Alexandria describes a relaxed K2TlSb crystal. The functional is PBE-GGA.

The structure in extended XYZ format:
```
12
Lattice="3.753 0.000 0.000 -1.877 3.250 0.000 0.000 0.000 35.637" Properties=species:S:1:pos:R:3 pbc="T T T"
K 0.000 0.000 8.712
K 0.000 0.000 26.925
K 0.000 2.167 15.046
K 0.000 2.167 32.470
K 1.877 1.083 3.167
K 1.877 1.083 20.591
Tl 0.000 0.000 0.000
Tl 0.000 2.167 23.758
Tl 1.877 1.083 11.879
Sb 0.000 0.000 17.818
Sb 0.000 2.167 5.940
Sb 1.877 1.083 29.697
```

Calculated values
The space-group type is No. 166. For the magnetic moment, the calculation gives 0.02 μB/atom. The crystal system is trigonal. Its total energy is -0.081 Ha/atom.

Q: magnetic moment of number 1 (K2TlSb)?
A: 0.00 μB/atom

Q: Among the records above, which one has the highest magnetic moment?
A: number 3

Q: Which value of total energy does entry 2 give?
A: -0.098 Ha/atom